Entry 1:
DFT (PBE) results for crystalline ErScSb at its relaxed geometry.

Calculated values
The uncorrected formation energy comes out at -0.797 eV/atom. As for the space group: P-62m. The uncorrected energy comes out at -52.220 eV per cell.

The structure in CIF format:
```
data_ErScSb
_chemical_formula_sum 'Er3 Sc3 Sb3'
_cell_length_a 7.900
_cell_length_b 7.900
_cell_length_c 4.203
_cell_angle_alpha 90.00
_cell_angle_beta 90.00
_cell_angle_gamma 120.00
_symmetry_space_group_name_H-M 'P 1'
_symmetry_Int_Tables_number 1
_symmetry_space_group_name_Hall 'P 1'
loop_
_atom_site_label
_atom_site_fract_x
_atom_site_fract_y
_atom_site_fract_z
_atom_site_occupancy
Er1 0.000 0.402 0.000 1
Er2 0.402 0.000 0.000 1
Er3 0.598 0.598 0.000 1
Sc1 0.000 0.746 0.500 1
Sc2 0.254 0.254 0.500 1
Sc3 0.746 0.000 0.500 1
Sb1 0.000 0.000 0.000 1
Sb2 0.333 0.667 0.500 1
Sb3 0.667 0.333 0.500 1
```

Entry 2:
DFT (PBE) results for crystalline NaPr2ThTe4 at its relaxed geometry.

Calculated values
The uncorrected formation energy comes out at -1.278 eV/atom. As for the space group: P2/m. The uncorrected energy comes out at -41.086 eV per cell.

The structure in CIF format:
```
data_NaPr2ThTe4
_chemical_formula_sum 'Na1 Pr2 Th1 Te4'
_cell_length_a 7.778
_cell_length_b 4.480
_cell_length_c 7.877
_cell_angle_alpha 90.00
_cell_angle_beta 108.92
_cell_angle_gamma 90.00
_symmetry_space_group_name_H-M 'P 1'
_symmetry_Int_Tables_number 1
_symmetry_space_group_name_Hall 'P 1'
loop_
_atom_site_label
_atom_site_fract_x
_atom_site_fract_y
_atom_site_fract_z
_atom_site_occupancy
Na1 0.000 0.000 0.000 1
Pr1 0.500 0.000 0.500 1
Pr2 0.500 0.500 0.000 1
Th1 0.000 0.500 0.500 1
Te1 0.243 0.000 0.752 1
Te2 0.244 0.500 0.248 1
Te3 0.756 0.500 0.752 1
Te4 0.757 0.000 0.248 1
```

Entry 3:
DFT (PBE) results for crystalline PrNdSmTl at its relaxed geometry.

Calculated values
The value obtained for the energy of formation from the pure elements is -0.04 eV per atom. As for the space group: F-43m. The uncorrected energy comes out at -67.215 eV per cell.

The structure in CIF format:
```
data_PrNdSmTl
_chemical_formula_sum 'Pr4 Nd4 Sm4 Tl4'
_cell_length_a 7.944
_cell_length_b 7.944
_cell_length_c 7.944
_cell_angle_alpha 90.00
_cell_angle_beta 90.00
_cell_angle_gamma 90.00
_symmetry_space_group_name_H-M 'P 1'
_symmetry_Int_Tables_number 1
_symmetry_space_group_name_Hall 'P 1'
loop_
_atom_site_label
_atom_site_fract_x
_atom_site_fract_y
_atom_site_fract_z
_atom_site_occupancy
Pr1 0.000 0.000 0.000 1
Pr2 0.000 0.500 0.500 1
Pr3 0.500 0.000 0.500 1
Pr4 0.500 0.500 0.000 1
Nd1 0.250 0.250 0.750 1
Nd2 0.250 0.750 0.250 1
Nd3 0.750 0.250 0.250 1
Nd4 0.750 0.750 0.750 1
Sm1 0.250 0.250 0.250 1
Sm2 0.250 0.750 0.750 1
Sm3 0.750 0.250 0.750 1
Sm4 0.750 0.750 0.250 1
Tl1 0.000 0.000 0.500 1
Tl2 0.000 0.500 0.000 1
Tl3 0.500 0.000 0.000 1
Tl4 0.500 0.500 0.500 1
```

Entry 4:
DFT (PBE) results for crystalline Ac2SmCl at its relaxed geometry.

Calculated values
The uncorrected formation energy comes out at -0.640 eV/atom. As for the space group: R-3m. The uncorrected energy comes out at -52.033 eV per cell.

The structure in CIF format:
```
data_Ac2SmCl
_chemical_formula_sum 'Ac6 Sm3 Cl3'
_cell_length_a 3.922
_cell_length_b 3.922
_cell_length_c 32.991
_cell_angle_alpha 90.00
_cell_angle_beta 90.00
_cell_angle_gamma 120.00
_symmetry_space_group_name_H-M 'P 1'
_symmetry_Int_Tables_number 1
_symmetry_space_group_name_Hall 'P 1'
loop_
_atom_site_label
_atom_site_fract_x
_atom_site_fract_y
_atom_site_fract_z
_atom_site_occupancy
Ac1 0.000 0.000 0.241 1
Ac2 0.000 0.000 0.759 1
Ac3 0.333 0.667 0.426 1
Ac4 0.333 0.667 0.907 1
Ac5 0.667 0.333 0.093 1
Ac6 0.667 0.333 0.574 1
Sm1 0.000 0.000 0.000 1
Sm2 0.333 0.667 0.667 1
Sm3 0.667 0.333 0.333 1
Cl1 0.000 0.000 0.500 1
Cl2 0.333 0.667 0.167 1
Cl3 0.667 0.333 0.833 1
```

Entry 5:
DFT (PBE) results for crystalline KRbTiIn2 at its relaxed geometry.

Calculated values
The value obtained for the energy of formation from the pure elements is 1.19 eV per atom. As for the space group: P4/mmm. The uncorrected energy comes out at -9.466 eV per cell.

The structure in CIF format:
```
data_KRbTiIn2
_chemical_formula_sum 'K1 Rb1 Ti1 In2'
_cell_length_a 6.117
_cell_length_b 6.117
_cell_length_c 5.574
_cell_angle_alpha 90.00
_cell_angle_beta 90.00
_cell_angle_gamma 90.00
_symmetry_space_group_name_H-M 'P 1'
_symmetry_Int_Tables_number 1
_symmetry_space_group_name_Hall 'P 1'
loop_
_atom_site_label
_atom_site_fract_x
_atom_site_fract_y
_atom_site_fract_z
_atom_site_occupancy
K1 0.000 0.000 0.000 1
Rb1 0.500 0.500 0.500 1
Ti1 0.000 0.000 0.500 1
In1 0.000 0.500 0.000 1
In2 0.500 0.000 0.000 1
```

Entry 6:
DFT (PBE) results for crystalline PmHoO2 at its relaxed geometry.

Calculated values
The uncorrected formation energy comes out at -2.857 eV/atom. The polymorph energy (0 for the lowest one) is 0 meV per atom. As for the space group: R-3m. The uncorrected energy comes out at -92.022 eV per cell.

The structure in CIF format:
```
data_PmHoO2
_chemical_formula_sum 'Pm3 Ho3 O6'
_cell_length_a 3.592
_cell_length_b 3.592
_cell_length_c 20.043
_cell_angle_alpha 90.00
_cell_angle_beta 90.00
_cell_angle_gamma 120.00
_symmetry_space_group_name_H-M 'P 1'
_symmetry_Int_Tables_number 1
_symmetry_space_group_name_Hall 'P 1'
loop_
_atom_site_label
_atom_site_fract_x
_atom_site_fract_y
_atom_site_fract_z
_atom_site_occupancy
Pm1 0.000 0.000 0.000 1
Pm2 0.333 0.667 0.667 1
Pm3 0.667 0.333 0.333 1
Ho1 0.000 0.000 0.500 1
Ho2 0.333 0.667 0.167 1
Ho3 0.667 0.333 0.833 1
O1 0.000 0.000 0.115 1
O2 0.000 0.000 0.885 1
O3 0.333 0.667 0.552 1
O4 0.333 0.667 0.781 1
O5 0.667 0.333 0.219 1
O6 0.667 0.333 0.448 1
```

Entry 7:
DFT (PBE) results for crystalline Ce2PrRu2 at its relaxed geometry.

Calculated values
The polymorph energy (0 for the lowest one) is 0 meV per atom. The value obtained for the energy of formation from the pure elements is -0.21 eV per atom. As for the space group: C2/m. The uncorrected energy comes out at -72.513 eV per cell.

The structure in CIF format:
```
data_Ce2PrRu2
_chemical_formula_sum 'Ce4 Pr2 Ru4'
_cell_length_a 6.169
_cell_length_b 6.169
_cell_length_c 10.194
_cell_angle_alpha 109.23
_cell_angle_beta 109.23
_cell_angle_gamma 40.93
_symmetry_space_group_name_H-M 'P 1'
_symmetry_Int_Tables_number 1
_symmetry_space_group_name_Hall 'P 1'
loop_
_atom_site_label
_atom_site_fract_x
_atom_site_fract_y
_atom_site_fract_z
_atom_site_occupancy
Ce1 0.036 0.036 0.209 1
Ce2 0.167 0.167 0.577 1
Ce3 0.833 0.833 0.423 1
Ce4 0.964 0.964 0.791 1
Pr1 0.304 0.304 0.139 1
Pr2 0.696 0.696 0.861 1
Ru1 0.392 0.392 0.873 1
Ru2 0.435 0.435 0.598 1
Ru3 0.565 0.565 0.402 1
Ru4 0.608 0.608 0.127 1
```

Entry 8:
DFT (PBE) results for crystalline NaSmGaSn at its relaxed geometry.

Calculated values
The value obtained for the energy of formation from the pure elements is -0.33 eV per atom. As for the space group: F-43m. The uncorrected energy comes out at -57.498 eV per cell.

The structure in CIF format:
```
data_NaSmGaSn
_chemical_formula_sum 'Na4 Sm4 Ga4 Sn4'
_cell_length_a 7.411
_cell_length_b 7.411
_cell_length_c 7.411
_cell_angle_alpha 90.00
_cell_angle_beta 90.00
_cell_angle_gamma 90.00
_symmetry_space_group_name_H-M 'P 1'
_symmetry_Int_Tables_number 1
_symmetry_space_group_name_Hall 'P 1'
loop_
_atom_site_label
_atom_site_fract_x
_atom_site_fract_y
_atom_site_fract_z
_atom_site_occupancy
Na1 0.000 0.000 0.000 1
Na2 0.000 0.500 0.500 1
Na3 0.500 0.000 0.500 1
Na4 0.500 0.500 0.000 1
Sm1 0.000 0.000 0.500 1
Sm2 0.000 0.500 0.000 1
Sm3 0.500 0.000 0.000 1
Sm4 0.500 0.500 0.500 1
Ga1 0.250 0.250 0.750 1
Ga2 0.250 0.750 0.250 1
Ga3 0.750 0.250 0.250 1
Ga4 0.750 0.750 0.750 1
Sn1 0.250 0.250 0.250 1
Sn2 0.250 0.750 0.750 1
Sn3 0.750 0.250 0.750 1
Sn4 0.750 0.750 0.250 1
```

Entry 9:
DFT (PBE) results for crystalline Sn4PtRh2 at its relaxed geometry.

Calculated values
The value obtained for the energy of formation from the pure elements is -0.44 eV per atom. As for the space group: C2/m. The uncorrected energy comes out at -79.692 eV per cell.

The structure in CIF format:
```
data_Sn4PtRh2
_chemical_formula_sum 'Sn8 Pt2 Rh4'
_cell_length_a 13.489
_cell_length_b 3.697
_cell_length_c 6.557
_cell_angle_alpha 90.00
_cell_angle_beta 116.83
_cell_angle_gamma 90.00
_symmetry_space_group_name_H-M 'P 1'
_symmetry_Int_Tables_number 1
_symmetry_space_group_name_Hall 'P 1'
loop_
_atom_site_label
_atom_site_fract_x
_atom_site_fract_y
_atom_site_fract_z
_atom_site_occupancy
Sn1 0.101 0.000 0.470 1
Sn2 0.143 0.500 0.966 1
Sn3 0.357 0.000 0.034 1
Sn4 0.399 0.500 0.530 1
Sn5 0.601 0.500 0.470 1
Sn6 0.643 0.000 0.966 1
Sn7 0.857 0.500 0.034 1
Sn8 0.899 0.000 0.530 1
Pt1 0.000 0.000 0.000 1
Pt2 0.500 0.500 0.000 1
Rh1 0.248 0.000 0.298 1
Rh2 0.252 0.500 0.702 1
Rh3 0.748 0.500 0.298 1
Rh4 0.752 0.000 0.702 1
```

Entry 10:
DFT (PBE) results for crystalline MnRhW at its relaxed geometry.

Calculated values
The polymorph energy (0 for the lowest one) is 5 meV per atom. The value obtained for the energy of formation from the pure elements is 0.00 eV per atom. As for the space group: C2/m. The uncorrected energy comes out at -117.848 eV per cell.

The structure in CIF format:
```
data_MnRhW
_chemical_formula_sum 'Mn4 Rh4 W4'
_cell_length_a 8.666
_cell_length_b 3.847
_cell_length_c 5.418
_cell_angle_alpha 90.00
_cell_angle_beta 107.85
_cell_angle_gamma 90.00
_symmetry_space_group_name_H-M 'P 1'
_symmetry_Int_Tables_number 1
_symmetry_space_group_name_Hall 'P 1'
loop_
_atom_site_label
_atom_site_fract_x
_atom_site_fract_y
_atom_site_fract_z
_atom_site_occupancy
Mn1 0.170 0.000 0.082 1
Mn2 0.330 0.500 0.918 1
Mn3 0.670 0.500 0.082 1
Mn4 0.830 0.000 0.918 1
Rh1 0.167 0.000 0.591 1
Rh2 0.333 0.500 0.409 1
Rh3 0.667 0.500 0.591 1
Rh4 0.833 0.000 0.409 1
W1 0.007 0.500 0.249 1
W2 0.493 0.000 0.751 1
W3 0.507 0.000 0.249 1
W4 0.993 0.500 0.751 1
```

Entry 11:
DFT (PBE) results for crystalline RbTaRu3 at its relaxed geometry.

Calculated values
The polymorph energy (0 for the lowest one) is 0 meV per atom. The value obtained for the energy of formation from the pure elements is 1.42 eV per atom. As for the space group: Pm-3m. The uncorrected energy comes out at -33.524 eV per cell.

The structure in CIF format:
```
data_RbTaRu3
_chemical_formula_sum 'Rb1 Ta1 Ru3'
_cell_length_a 4.907
_cell_length_b 4.907
_cell_length_c 4.907
_cell_angle_alpha 90.00
_cell_angle_beta 90.00
_cell_angle_gamma 90.00
_symmetry_space_group_name_H-M 'P 1'
_symmetry_Int_Tables_number 1
_symmetry_space_group_name_Hall 'P 1'
loop_
_atom_site_label
_atom_site_fract_x
_atom_site_fract_y
_atom_site_fract_z
_atom_site_occupancy
Rb1 0.000 0.000 0.000 1
Ta1 0.500 0.500 0.500 1
Ru1 0.000 0.500 0.500 1
Ru2 0.500 0.000 0.500 1
Ru3 0.500 0.500 0.000 1
```

Entry 12:
DFT (PBE) results for crystalline Nd5ThGa5 at its relaxed geometry.

Calculated values
The value obtained for the energy of formation from the pure elements is -0.29 eV per atom. As for the space group: C2/m. The uncorrected energy comes out at -49.533 eV per cell.

The structure in CIF format:
```
data_Nd5ThGa5
_chemical_formula_sum 'Nd5 Th1 Ga5'
_cell_length_a 8.316
_cell_length_b 8.316
_cell_length_c 6.957
_cell_angle_alpha 98.96
_cell_angle_beta 98.96
_cell_angle_gamma 41.34
_symmetry_space_group_name_H-M 'P 1'
_symmetry_Int_Tables_number 1
_symmetry_space_group_name_Hall 'P 1'
loop_
_atom_site_label
_atom_site_fract_x
_atom_site_fract_y
_atom_site_fract_z
_atom_site_occupancy
Nd1 0.000 0.000 0.000 1
Nd2 0.317 0.317 0.599 1
Nd3 0.359 0.359 0.106 1
Nd4 0.641 0.641 0.894 1
Nd5 0.683 0.683 0.401 1
Th1 0.000 0.000 0.500 1
Ga1 0.168 0.168 0.820 1
Ga2 0.178 0.178 0.223 1
Ga3 0.500 0.500 0.500 1
Ga4 0.822 0.822 0.777 1
Ga5 0.832 0.832 0.180 1
```

Entry 13:
DFT (PBE) results for crystalline BeC at its relaxed geometry.

Calculated values
The polymorph energy (0 for the lowest one) is 1160 meV per atom. The value obtained for the energy of formation from the pure elements is 1.48 eV per atom. As for the space group: F-43m. The uncorrected energy comes out at -39.969 eV per cell.

The structure in CIF format:
```
data_BeC
_chemical_formula_sum 'Be4 C4'
_cell_length_a 4.158
_cell_length_b 4.158
_cell_length_c 4.158
_cell_angle_alpha 90.00
_cell_angle_beta 90.00
_cell_angle_gamma 90.00
_symmetry_space_group_name_H-M 'P 1'
_symmetry_Int_Tables_number 1
_symmetry_space_group_name_Hall 'P 1'
loop_
_atom_site_label
_atom_site_fract_x
_atom_site_fract_y
_atom_site_fract_z
_atom_site_occupancy
Be1 0.000 0.000 0.000 1
Be2 0.000 0.500 0.500 1
Be3 0.500 0.000 0.500 1
Be4 0.500 0.500 0.000 1
C1 0.250 0.250 0.250 1
C2 0.250 0.750 0.750 1
C3 0.750 0.250 0.750 1
C4 0.750 0.750 0.250 1
```